VASP calculation (GGA-PBEsol) on a relaxed structure of KGe3Sb.

CIF file:
```
data_KGe3Sb
_cell_length_a 5.297
_cell_length_b 5.297
_cell_length_c 5.297
_cell_angle_alpha 90.00
_cell_angle_beta 90.00
_cell_angle_gamma 90.00
_space_group_name_H-M_alt 'P 1'
_space_group_IT_number 1
_space_group_name_Hall 'P 1'
loop_
_atom_site_label
_atom_site_fract_x
_atom_site_fract_y
_atom_site_fract_z
Ge1 0.000 0.000 0.500
Ge2 0.500 0.000 0.000
Ge3 0.000 0.500 0.000
Sb1 0.500 0.500 0.500
K1 0.000 0.000 0.000
```

Values from the calculation:
Formation energy from raw total energies = 1.526 eV per atom
V = 29.7 A^3/atom

***

VASP calculation (GGA-PBEsol) on a relaxed structure of ZrCo2IrPd.

CIF file:
```
data_ZrCo2IrPd
_cell_length_a 4.333
_cell_length_b 4.333
_cell_length_c 4.823
_cell_angle_alpha 90.00
_cell_angle_beta 90.00
_cell_angle_gamma 90.00
_space_group_name_H-M_alt 'P 1'
_space_group_IT_number 1
_space_group_name_Hall 'P 1'
loop_
_atom_site_label
_atom_site_fract_x
_atom_site_fract_y
_atom_site_fract_z
Pd1 0.000 0.000 0.500
Co1 0.000 0.500 0.000
Co2 0.500 0.000 0.000
Ir1 0.000 0.000 0.000
Zr1 0.500 0.500 0.500
```

Values from the calculation:
DFT total energy = -0.5189 Ry per atom
V = 18.1 A^3/atom

***

VASP calculation (GGA-PBEsol) on a relaxed structure of Li2TiSn3P6O24.

CIF file:
```
data_Li2TiSn3P6O24
_cell_length_a 8.659
_cell_length_b 8.659
_cell_length_c 8.671
_cell_angle_alpha 60.05
_cell_angle_beta 60.05
_cell_angle_gamma 60.00
_space_group_name_H-M_alt 'P 1'
_space_group_IT_number 1
_space_group_name_Hall 'P 1'
loop_
_atom_site_label
_atom_site_fract_x
_atom_site_fract_y
_atom_site_fract_z
O1 0.813 0.621 0.574
O2 0.389 0.995 0.428
O3 0.767 0.413 0.262
O4 0.452 0.235 0.726
O5 0.267 0.061 0.763
O6 0.558 0.767 0.262
O7 0.931 0.084 0.247
O8 0.491 0.893 0.931
O9 0.991 0.813 0.574
O10 0.235 0.586 0.726
O11 0.621 0.991 0.574
O12 0.413 0.558 0.262
O13 0.061 0.910 0.763
O14 0.738 0.931 0.247
O15 0.297 0.518 0.067
O16 0.118 0.297 0.067
O17 0.586 0.452 0.726
O18 0.910 0.267 0.763
O19 0.084 0.738 0.247
O20 0.893 0.685 0.931
O21 0.995 0.189 0.428
O22 0.685 0.491 0.931
O23 0.189 0.389 0.428
O24 0.518 0.118 0.067
Ti1 0.857 0.857 0.428
Sn1 0.142 0.142 0.575
Sn2 0.359 0.359 0.922
Sn3 0.643 0.643 0.072
Li1 0.993 0.993 0.020
Li2 0.501 0.501 0.497
P1 0.044 0.750 0.747
P2 0.548 0.956 0.250
P3 0.956 0.246 0.250
P4 0.460 0.044 0.747
P5 0.750 0.460 0.747
P6 0.246 0.548 0.250
```

Values from the calculation:
Formation energy from raw total energies = -2.207 eV per atom
V = 12.8 A^3/atom

***

VASP calculation (GGA-PBEsol) on a relaxed structure of AlTc2Os.

CIF file:
```
data_AlTc2Os
_cell_length_a 2.742
_cell_length_b 2.742
_cell_length_c 8.812
_cell_angle_alpha 81.05
_cell_angle_beta 81.05
_cell_angle_gamma 60.00
_space_group_name_H-M_alt 'P 1'
_space_group_IT_number 1
_space_group_name_Hall 'P 1'
loop_
_atom_site_label
_atom_site_fract_x
_atom_site_fract_y
_atom_site_fract_z
Os1 0.000 0.000 0.000
Tc1 0.251 0.251 0.247
Tc2 0.749 0.749 0.753
Al1 0.500 0.500 0.500
```

Values from the calculation:
DFT total energy = -0.7174 Ry per atom
V = 14.1 A^3/atom

***

VASP calculation (GGA-PBEsol) on a relaxed structure of ReSbSe.

CIF file:
```
data_ReSbSe
_cell_length_a 3.195
_cell_length_b 4.148
_cell_length_c 4.889
_cell_angle_alpha 115.10
_cell_angle_beta 109.07
_cell_angle_gamma 90.00
_space_group_name_H-M_alt 'P 1'
_space_group_IT_number 1
_space_group_name_Hall 'P 1'
loop_
_atom_site_label
_atom_site_fract_x
_atom_site_fract_y
_atom_site_fract_z
Se1 0.326 0.326 0.652
Re1 0.016 0.016 0.031
Sb1 0.658 0.658 0.317
```

Values from the calculation:
Formation energy from raw total energies = 0.706 eV per atom
V = 18.2 A^3/atom
Excess energy over the best structure of this formula in the dataset = 0.00 eV/f.u.

***

VASP calculation (GGA-PBEsol) on a relaxed structure of Sc2AgW.

CIF file:
```
data_Sc2AgW
_cell_length_a 4.028
_cell_length_b 4.028
_cell_length_c 5.313
_cell_angle_alpha 112.28
_cell_angle_beta 112.28
_cell_angle_gamma 90.00
_space_group_name_H-M_alt 'P 1'
_space_group_IT_number 1
_space_group_name_Hall 'P 1'
loop_
_atom_site_label
_atom_site_fract_x
_atom_site_fract_y
_atom_site_fract_z
Ag1 0.250 0.750 0.500
Sc1 0.000 0.000 0.000
Sc2 0.750 0.250 0.500
W1 0.500 0.500 0.000
```

Values from the calculation:
V = 18.2 A^3/atom
Excess energy over the best structure of this formula in the dataset = 0.49 eV/f.u.

***

What is the V in the fifth record? 18.2 A^3/atom